This record from Alexandria via LeMat-Bulk describes BaCaCeCrO6 after structural relaxation. The functional is PBE+U.

Lattice parameters (Å, degrees): 5.8826 5.8826 5.8826 60.00 60.00 60.00
Site moments in Bohr magnetons follow the coordinates.
Sites, in units of the cell vectors:
O (0.2659, 0.7341, 0.2659)  -0.07
Ce (0.0000, 0.0000, 0.0000)  0.05
O (0.2659, 0.2659, 0.7341)  -0.07
O (0.7341, 0.2659, 0.7341)  -0.07
O (0.7341, 0.7341, 0.2659)  -0.07
Ba (0.2500, 0.2500, 0.2500)  0.00
Cr (0.5000, 0.5000, 0.5000)  2.33
O (0.2659, 0.7341, 0.7341)  -0.07
O (0.7341, 0.2659, 0.2659)  -0.07
Ca (0.7500, 0.7500, 0.7500)  0.01

- Fermi-level density of states (states/eV/cell) = 4.8
- space-group type = F-43m, No. 216
- volume (Å³ per atom) = 14.4
- DFT total energy (eV for the cell shown) = -72.6